1.
# Nd2USe4 | the Alexandria database | PBE-GGA | relaxed
# uncorrected energy	-6.512	eV/atom
# calculated volume	398	Å³/cell
# energy relative to the elements, uncorrected	-1.546	eV/atom
# space-group type	Cmcm
data_Nd2USe4
_space_group_name_H-M_alt 'P 1'
_space_group_IT_number 1
_cell_length_a 4.0790
_cell_length_b 7.2734
_cell_length_c 13.9617
_cell_angle_alpha 90.00
_cell_angle_beta 90.00
_cell_angle_gamma 106.28
loop_
_space_group_symop_operation_xyz
'x,y,z'
loop_
_atom_site_label
_atom_site_fract_x
_atom_site_fract_y
_atom_site_fract_z
Nd1 0.1333 0.2665 0.4310
Nd2 0.8667 0.7335 0.9310
Nd3 0.1333 0.2665 0.0690
Nd4 0.8667 0.7335 0.5690
U1 0.6227 0.2454 0.7500
U2 0.3773 0.7546 0.2500
Se1 0.7771 0.5541 0.1275
Se2 0.7771 0.5541 0.3725
Se3 0.2229 0.4459 0.8725
Se4 0.2229 0.4459 0.6275
Se5 0.9738 0.9476 0.7500
Se6 0.0262 0.0524 0.2500
Se7 0.5000 0.0000 0.0000
Se8 0.5000 0.0000 0.5000



2.
# ScTiS3 | the Alexandria database | PBE-GGA | relaxed
# uncorrected energy	-5.819	eV/atom
# calculated volume	113	Å³/cell
# energy relative to the elements, uncorrected	-0.497	eV/atom
# space-group type	Pm-3m
data_ScTiS3
_space_group_name_H-M_alt 'P 1'
_space_group_IT_number 1
_cell_length_a 4.8313
_cell_length_b 4.8313
_cell_length_c 4.8313
_cell_angle_alpha 90.00
_cell_angle_beta 90.00
_cell_angle_gamma 90.00
loop_
_space_group_symop_operation_xyz
'x,y,z'
loop_
_atom_site_label
_atom_site_fract_x
_atom_site_fract_y
_atom_site_fract_z
Sc1 0.0000 0.0000 0.0000
S1 0.0000 0.5000 0.0000
S2 0.0000 0.0000 0.5000
S3 0.5000 0.0000 0.0000
Ti1 0.5000 0.5000 0.5000



3.
# BaPu2P2 | the Alexandria database | PBE-GGA | relaxed
# ΔE_f	-0.66	eV per atom
# uncorrected energy	-8.944	eV/atom
# calculated volume	304	Å³/cell
# space-group type	Fddd
data_BaPu2P2
_space_group_name_H-M_alt 'P 1'
_space_group_IT_number 1
_cell_length_a 7.1243
_cell_length_b 7.1243
_cell_length_c 8.0816
_cell_angle_alpha 100.47
_cell_angle_beta 100.47
_cell_angle_gamma 125.99
loop_
_space_group_symop_operation_xyz
'x,y,z'
loop_
_atom_site_label
_atom_site_fract_x
_atom_site_fract_y
_atom_site_fract_z
Ba1 0.5000 0.5000 0.0000
Ba2 0.7500 0.2500 0.5000
Pu1 0.1628 0.8372 0.0000
Pu2 0.8372 0.1628 0.0000
Pu3 0.0872 0.9128 0.5000
Pu4 0.4128 0.5872 0.5000
P1 0.8787 0.8787 0.7575
P2 0.1213 0.1213 0.2425
P3 0.1287 0.6287 0.2575
P4 0.3713 0.8713 0.7425



4.
# LaCeSm2P4 | the Alexandria database | PBE-GGA | relaxed
# ΔE_f	-1.55	eV per atom
# uncorrected energy	-6.796	eV/atom
# calculated volume	201	Å³/cell
# space-group type	P2/m
data_LaCeSm2P4
_space_group_name_H-M_alt 'P 1'
_space_group_IT_number 1
_cell_length_a 4.1440
_cell_length_b 7.1704
_cell_length_c 7.1829
_cell_angle_alpha 70.59
_cell_angle_beta 90.00
_cell_angle_gamma 90.00
loop_
_space_group_symop_operation_xyz
'x,y,z'
loop_
_atom_site_label
_atom_site_fract_x
_atom_site_fract_y
_atom_site_fract_z
La1 0.0000 0.5000 0.5000
Ce1 0.5000 0.5000 0.0000
Sm1 0.0000 0.0000 0.0000
Sm2 0.5000 0.0000 0.5000
P1 0.0000 0.7500 0.7555
P2 0.0000 0.2500 0.2445
P3 0.5000 0.7531 0.2425
P4 0.5000 0.2469 0.7575



5.
# ScZn5Ag7 | the Alexandria database | PBE-GGA | relaxed
# ΔE_f	-0.09	eV per atom
# uncorrected energy	-2.605	eV/atom
# calculated volume	223	Å³/cell
# space-group type	Imm2
data_ScZn5Ag7
_space_group_name_H-M_alt 'P 1'
_space_group_IT_number 1
_cell_length_a 5.2024
_cell_length_b 7.0443
_cell_length_c 7.0443
_cell_angle_alpha 81.60
_cell_angle_beta 68.33
_cell_angle_gamma 68.33
loop_
_space_group_symop_operation_xyz
'x,y,z'
loop_
_atom_site_label
_atom_site_fract_x
_atom_site_fract_y
_atom_site_fract_z
Sc1 0.9961 0.0039 0.0039
Zn1 0.5033 0.9963 0.4989
Zn2 0.0016 0.9963 0.4989
Zn3 0.5033 0.4989 0.9963
Zn4 0.0016 0.4989 0.9963
Zn5 0.7207 0.7793 0.7793
Ag1 0.6476 0.3524 0.3524
Ag2 0.3387 0.6613 0.6613
Ag3 0.9994 0.3439 0.6572
Ag4 0.9994 0.6572 0.3439
Ag5 0.2790 0.2210 0.2210
Ag6 0.5047 0.7965 0.1940
Ag7 0.5047 0.1940 0.7965



6.
# AcCd9In2 | the Alexandria database | PBE-GGA | relaxed
# ΔE_f	-0.11	eV per atom
# uncorrected energy	-1.594	eV/atom
# calculated volume	595	Å³/cell
# space-group type	I4_1/amd
data_AcCd9In2
_space_group_name_H-M_alt 'P 1'
_space_group_IT_number 1
_cell_length_a 8.3762
_cell_length_b 9.4085
_cell_length_c 9.4085
_cell_angle_alpha 78.57
_cell_angle_beta 63.57
_cell_angle_gamma 63.57
loop_
_space_group_symop_operation_xyz
'x,y,z'
loop_
_atom_site_label
_atom_site_fract_x
_atom_site_fract_y
_atom_site_fract_z
Ac1 0.5000 0.0000 0.0000
Ac2 0.2500 0.5000 0.5000
Cd1 0.7500 0.5000 0.5000
Cd2 0.0000 0.0000 0.0000
Cd3 0.9972 0.9152 0.6741
Cd4 0.5865 0.0848 0.3259
Cd5 0.6624 0.1741 0.5848
Cd6 0.4213 0.8259 0.4152
Cd7 0.7528 0.8259 0.5848
Cd8 0.1635 0.1741 0.4152
Cd9 0.0876 0.9152 0.3259
Cd10 0.3287 0.0848 0.6741
Cd11 0.7528 0.5848 0.8259
Cd12 0.1635 0.4152 0.1741
Cd13 0.0876 0.3259 0.9152
Cd14 0.3287 0.6741 0.0848
Cd15 0.9972 0.6741 0.9152
Cd16 0.5865 0.3259 0.0848
Cd17 0.6624 0.5848 0.1741
Cd18 0.4213 0.4152 0.8259
In1 0.8750 0.2500 0.7500
In2 0.8750 0.7500 0.2500
In3 0.8750 0.2500 0.2500
In4 0.3750 0.7500 0.7500



7.
# NaInI4 | the Alexandria database | PBE-GGA | relaxed
# uncorrected energy	-2.456	eV/atom
# calculated volume	618	Å³/cell
# energy relative to the elements, uncorrected	-0.746	eV/atom
# space-group type	C2/c
data_NaInI4
_space_group_name_H-M_alt 'P 1'
_space_group_IT_number 1
_cell_length_a 6.7381
_cell_length_b 6.7409
_cell_length_c 14.4154
_cell_angle_alpha 103.54
_cell_angle_beta 103.53
_cell_angle_gamma 89.93
loop_
_space_group_symop_operation_xyz
'x,y,z'
loop_
_atom_site_label
_atom_site_fract_x
_atom_site_fract_y
_atom_site_fract_z
Na1 0.3753 0.6253 0.2506
Na2 0.6247 0.3747 0.7494
In1 0.8750 0.1250 0.2501
In2 0.1250 0.8750 0.7499
I1 0.2946 0.0335 0.6234
I2 0.0342 0.8284 0.1238
I3 0.1712 0.4101 0.3766
I4 0.4103 0.7046 0.8762
I5 0.7054 0.9665 0.3766
I6 0.8288 0.5899 0.6234
I7 0.9658 0.1716 0.8762
I8 0.5897 0.2954 0.1238



8.
# NaPO2F | the Alexandria database | PBE-GGA | relaxed
# uncorrected energy	-3.383	eV/atom
# calculated volume	64	Å³/cell
# energy relative to the elements, uncorrected	0.321	eV/atom
# space-group type	P4/mmm
data_NaPO2F
_space_group_name_H-M_alt 'P 1'
_space_group_IT_number 1
_cell_length_a 4.0745
_cell_length_b 4.0745
_cell_length_c 3.8517
_cell_angle_alpha 90.00
_cell_angle_beta 90.00
_cell_angle_gamma 90.00
loop_
_space_group_symop_operation_xyz
'x,y,z'
loop_
_atom_site_label
_atom_site_fract_x
_atom_site_fract_y
_atom_site_fract_z
P1 0.5000 0.5000 0.5000
F1 0.0000 0.0000 0.5000
O1 0.0000 0.5000 0.0000
O2 0.5000 0.0000 0.0000
Na1 0.0000 0.0000 0.0000